Entry 1:
VPdIN2, optimized geometry, DFT PBE-GGA; formation energy without anion corrections = 1.7815 eV per atom; polymorph energy (0 for the lowest one) = 6.43 eV/f.u.; total energy = -23.60 eV for the cell shown; size of the total moment = 2.91 μB/f.u.
1.0
3.9111 0.0000 0.0000
0.0000 3.9111 0.0000
0.0000 0.0000 7.1884
I N Pd V
1 2 1 1
Direct
0.0000 0.0000 0.5000 I
0.0000 0.5000 0.0000 N
0.5000 0.0000 0.0000 N
0.0000 0.0000 0.0000 Pd
0.5000 0.5000 0.5000 V

Entry 2:
VPdIN2, optimized geometry, DFT PBE-GGA; formation energy without anion corrections = 0.4961 eV per atom; polymorph energy (0 for the lowest one) = 0.00 eV/f.u.; total energy = -30.03 eV for the cell shown; size of the total moment = 0.47 μB/f.u.
1.0
3.7841 0.0000 0.0000
0.0000 3.7841 0.0000
0.0000 0.0000 5.9972
I N Pd V
1 2 1 1
Direct
0.0000 0.0000 0.5000 I
0.0000 0.5000 0.0000 N
0.5000 0.0000 0.0000 N
0.5000 0.5000 0.5000 Pd
0.0000 0.0000 0.0000 V

Entry 3:
VPdI2N, optimized geometry, DFT PBE-GGA; formation energy without anion corrections = 1.1291 eV per atom; polymorph energy (0 for the lowest one) = 4.21 eV/f.u.; total energy = -20.09 eV for the cell shown; size of the total moment = 0.46 μB/f.u.
1.0
5.6961 0.0000 0.0000
0.0000 5.6961 0.0000
0.0000 0.0000 3.7282
I N Pd V
2 1 1 1
Direct
0.0000 0.5000 0.0000 I
0.5000 0.0000 0.0000 I
0.0000 0.0000 0.5000 N
0.0000 0.0000 0.0000 Pd
0.5000 0.5000 0.5000 V

Entry 4:
VPdI2N, optimized geometry, DFT PBE-GGA; formation energy without anion corrections = 0.2879 eV per atom; polymorph energy (0 for the lowest one) = 0.00 eV/f.u.; total energy = -24.30 eV for the cell shown; size of the total moment = 0.00 μB/f.u.
1.0
5.4629 0.0000 0.0000
0.0000 5.4629 0.0000
0.0000 0.0000 3.6345
I N Pd V
2 1 1 1
Direct
0.0000 0.5000 0.0000 I
0.5000 0.0000 0.0000 I
0.0000 0.0000 0.5000 N
0.5000 0.5000 0.5000 Pd
0.0000 0.0000 0.0000 V

Entry 5:
Pd2WIN, optimized geometry, DFT PBE-GGA; formation energy without anion corrections = 0.6596 eV per atom; total energy = -29.92 eV for the cell shown; size of the total moment = 0.00 μB/f.u.
1.0
5.1517 0.0000 0.0000
0.0000 5.1517 0.0000
0.0000 0.0000 3.8260
I Pd W N
1 2 1 1
Direct
0.5000 0.5000 0.5000 I
0.0000 0.5000 0.0000 Pd
0.5000 0.0000 0.0000 Pd
0.0000 0.0000 0.0000 W
0.0000 0.0000 0.5000 N

Entry 6:
ZnPdIN2, optimized geometry, DFT PBE-GGA; formation energy without anion corrections = 1.4365 eV per atom; polymorph energy (0 for the lowest one) = 0.52 eV/f.u.; total energy = -17.49 eV for the cell shown; size of the total moment = 3.71 μB/f.u.
1.0
3.9420 0.0000 0.0000
0.0000 3.9420 0.0000
0.0000 0.0000 6.3824
I Zn Pd N
1 1 1 2
Direct
0.0000 0.0000 0.5000 I
0.0000 0.0000 0.0000 Zn
0.5000 0.5000 0.5000 Pd
0.0000 0.5000 0.0000 N
0.5000 0.0000 0.0000 N

Entry 7:
ZnPdI2N, optimized geometry, DFT PBE-GGA; formation energy without anion corrections = 0.6442 eV per atom; polymorph energy (0 for the lowest one) = 0.00 eV/f.u.; total energy = -14.67 eV for the cell shown; size of the total moment = 0.00 μB/f.u.
1.0
-5.1505 0.3496 -2.5156
-2.5392 -0.5883 5.1170
0.0354 3.7494 0.4486
I Zn Pd N
2 1 1 1
Direct
0.0000 0.5000 0.0000 I
0.5000 0.0000 0.0000 I
0.5000 0.5000 0.5000 Zn
0.0000 0.0000 0.0000 Pd
0.0000 0.0000 0.5000 N

Entry 8:
ZnPdI2N, optimized geometry, DFT PBE-GGA; formation energy without anion corrections = 0.8174 eV per atom; polymorph energy (0 for the lowest one) = 0.87 eV/f.u.; total energy = -13.81 eV for the cell shown; size of the total moment = 2.71 μB/f.u.
1.0
5.7524 0.0000 0.0000
0.0000 5.7524 0.0000
0.0000 0.0000 3.7394
I Zn Pd N
2 1 1 1
Direct
0.0000 0.5000 0.0000 I
0.5000 0.0000 0.0000 I
0.0000 0.0000 0.0000 Zn
0.5000 0.5000 0.5000 Pd
0.0000 0.0000 0.5000 N

Entry 9:
ZnPdIN2, optimized geometry, DFT PBE-GGA; formation energy without anion corrections = 1.3321 eV per atom; polymorph energy (0 for the lowest one) = 0.00 eV/f.u.; total energy = -18.01 eV for the cell shown; size of the total moment = 0.00 μB/f.u.
1.0
-2.5117 2.5151 1.5500
-1.4011 -2.8052 2.2814
5.2405 1.8488 5.4918
I Zn Pd N
1 1 1 2
Direct
0.0000 0.0000 0.5000 I
0.5000 0.5000 0.5000 Zn
0.0000 0.0000 0.0000 Pd
0.0000 0.5000 0.0000 N
0.5000 0.0000 0.0000 N

Entry 10:
Pm4I5N2, optimized geometry, DFT PBE-GGA; formation energy without anion corrections = -1.3135 eV per atom; polymorph energy (0 for the lowest one) = 0.00 eV/f.u.; total energy = -57.85 eV for the cell shown; size of the total moment = 0.00 μB/f.u.
1.0
-2.2575 -1.1719 -2.9770
-4.3222 -5.4166 5.4099
-0.3574 15.0577 -3.0815
Pm I N
4 5 2
Direct
0.3592 0.1717 0.7185 Pm
0.0133 0.7235 0.0265 Pm
0.6408 0.8283 0.2815 Pm
0.9867 0.2765 0.9735 Pm
0.8025 0.2864 0.6049 I
0.1975 0.7136 0.3951 I
0.8341 0.8172 0.6683 I
0.5000 0.0000 0.0000 I
0.1659 0.1828 0.3317 I
0.9296 0.3558 0.8593 N
0.0704 0.6442 0.1407 N

Entry 11:
Pm4I5N, optimized geometry, DFT PBE-GGA; formation energy without anion corrections = -1.3079 eV per atom; total energy = -48.16 eV for the cell shown; size of the total moment = 0.00 μB/f.u.
1.0
-2.5953 -0.6644 -3.0064
5.9419 -5.0487 -4.0136
-3.4636 -5.9907 7.0105
Pm I N
4 5 1
Direct
0.3716 0.9373 0.7431 Pm
0.0011 0.8090 0.0022 Pm
0.6284 0.0627 0.2569 Pm
0.9989 0.1910 0.9978 Pm
0.8367 0.6581 0.6735 I
0.8317 0.1816 0.6633 I
0.1683 0.8184 0.3367 I
0.5000 0.5000 0.0000 I
0.1633 0.3419 0.3265 I
0.5000 0.0000 0.0000 N

Entry 12:
Pm2I4N, optimized geometry, DFT PBE-GGA; formation energy without anion corrections = -1.0524 eV per atom; total energy = -62.79 eV for the cell shown; size of the total moment = 0.00 μB/f.u.
1.0
3.5169 0.0000 0.0000
0.0000 13.8971 0.0000
0.0000 0.0000 13.8971
Pm I N
4 8 2
Direct
0.0000 0.0839 0.9161 Pm
0.0000 0.9161 0.0839 Pm
0.5000 0.5839 0.5839 Pm
0.5000 0.4161 0.4161 Pm
0.0000 0.2278 0.4540 I
0.0000 0.7722 0.5460 I
0.5000 0.0460 0.7278 I
0.5000 0.9540 0.2722 I
0.5000 0.2722 0.9540 I
0.5000 0.7278 0.0460 I
0.0000 0.4540 0.2278 I
0.0000 0.5460 0.7722 I
0.5000 0.0000 0.0000 N
0.0000 0.5000 0.5000 N

Entry 13:
Pm7I12N, optimized geometry, DFT PBE-GGA; formation energy without anion corrections = -1.3250 eV per atom; total energy = -86.68 eV for the cell shown; size of the total moment = 0.00 μB/f.u.
1.0
-6.5508 2.4553 -6.7848
2.9638 -9.0979 -1.8491
-4.4996 -0.0125 8.6446
Pm I N
7 12 1
Direct
0.9693 0.7134 0.9033 Pm
0.2866 0.0967 0.0307 Pm
0.0967 0.0307 0.2866 Pm
0.5000 0.5000 0.5000 Pm
0.9033 0.9693 0.7134 Pm
0.7134 0.9033 0.9693 Pm
0.0307 0.2866 0.0967 Pm
0.9213 0.3118 0.7721 I
0.6882 0.2279 0.0787 I
0.4682 0.1484 0.3864 I
0.8516 0.6136 0.5318 I
0.2279 0.0787 0.6882 I
0.6136 0.5318 0.8516 I
0.3864 0.4682 0.1484 I
0.7721 0.9213 0.3118 I
0.1484 0.3864 0.4682 I
0.5318 0.8516 0.6136 I
0.3118 0.7721 0.9213 I
0.0787 0.6882 0.2279 I
0.0000 0.0000 0.0000 N

Entry 14:
Pm2IN, optimized geometry, DFT PBE-GGA; formation energy without anion corrections = -1.2073 eV per atom; polymorph energy (0 for the lowest one) = 0.01 eV/f.u.; total energy = -24.21 eV for the cell shown; size of the total moment = 0.00 μB/f.u.
1.0
3.7790 0.0000 0.0000
1.8895 3.2727 0.0000
1.8895 1.0909 7.5834
Pm I N
2 1 1
Direct
0.0566 0.0566 0.8303 Pm
0.2761 0.2761 0.1717 Pm
0.4995 0.4995 0.5015 I
0.6678 0.6678 0.9965 N